# 1
# NaCrSe2O8

A relaxed structure of NaCrSe2O8 (PBE with a Hubbard U, Alexandria).

**E_tot**: -0.4033 Ry per atom

Cell: 5.9419 5.9419 5.9419 Å, 104.40 104.40 120.17°
Sites, in units of the cell vectors:
Na 0.0000 0.0000 0.0000
Cr 0.2500 0.7500 0.5000
Se 0.5000 0.5000 0.0000
Se 0.7500 0.2500 0.5000
O 0.3314 0.1470 0.8156
O 0.3314 0.5159 0.1844
O 0.3861 0.0561 0.3300
O 0.4841 0.6686 0.8156
O 0.7261 0.0561 0.6700
O 0.8530 0.6686 0.1844
O 0.9439 0.2739 0.3300
O 0.9439 0.6139 0.6700



# 2
# NaCrSeO6

A relaxed structure of NaCrSeO6 (PBE with a Hubbard U, Alexandria).

**E_tot**: -0.4208 Ry per atom

Cell: 4.9447 4.9447 5.2766 Å, 90.00 90.00 120.00°
Sites, in units of the cell vectors:
Na 0.0000 0.0000 0.0000
Cr 0.3333 0.6667 0.5000
Se 0.6667 0.3333 0.5000
O 0.3931 0.0087 0.6995
O 0.3931 0.3845 0.3005
O 0.6155 0.0087 0.3005
O 0.6155 0.6069 0.6995
O 0.9913 0.3845 0.6995
O 0.9913 0.6069 0.3005



# 3
# NaCr2SeO8

A relaxed structure of NaCr2SeO8 (PBE with a Hubbard U, Alexandria).

**E_tot**: -0.4404 Ry per atom
**Density of states at the Fermi level**: 0.254 states/eV per atom

Cell: 4.7813 4.7813 6.5595 Å, 100.51 100.51 75.06°
Sites, in units of the cell vectors:
Na 0.0000 0.0000 0.0000
Cr 0.4423 0.4423 0.7709
Cr 0.5577 0.5577 0.2291
Se 0.0000 0.0000 0.5000
O 0.1950 0.7582 0.2903
O 0.2405 0.2405 0.5339
O 0.2418 0.8050 0.7097
O 0.3376 0.3376 0.9803
O 0.6624 0.6624 0.0197
O 0.7582 0.1950 0.2903
O 0.7595 0.7595 0.4661
O 0.8050 0.2418 0.7097



# 4
# Na3CrSi2O6

A relaxed structure of Na3CrSi2O6 (PBE with a Hubbard U, Alexandria).

**E_tot**: -0.4586 Ry per atom
**Density of states at the Fermi level**: 0.087 states/eV per atom

Cell: 5.5020 5.5020 6.2487 Å, 90.00 90.00 120.00°
Sites, in units of the cell vectors:
Na 0.0000 0.0000 0.0000
Na 0.3333 0.6667 0.7041
Na 0.6667 0.3333 0.2959
Cr 0.0000 0.0000 0.5000
Si 0.3333 0.6667 0.2304
Si 0.6667 0.3333 0.7696
O 0.1686 0.3372 0.2968
O 0.1686 0.8314 0.2968
O 0.3372 0.1686 0.7032
O 0.6628 0.8314 0.2968
O 0.8314 0.1686 0.7032
O 0.8314 0.6628 0.7032



# 5
# Na4Cr3SiO8

A relaxed structure of Na4Cr3SiO8 (PBE with a Hubbard U, Alexandria).

**E_tot**: -0.4760 Ry per atom
**Density of states at the Fermi level**: 0.075 states/eV per atom

Cell: 6.0169 6.0169 6.3649 Å, 117.82 117.82 61.81°
Sites, in units of the cell vectors:
Na 0.0000 0.0000 0.0000
Na 0.0000 0.5000 0.0000
Na 0.5000 0.0000 0.0000
Na 0.5000 0.5000 0.0000
Cr 0.0000 0.0000 0.5000
Cr 0.0000 0.5000 0.5000
Cr 0.5000 0.0000 0.5000
Si 0.5000 0.5000 0.5000
O 0.2346 0.2346 0.6944
O 0.2746 0.6961 0.6896
O 0.2770 0.2770 0.3043
O 0.3039 0.7254 0.3104
O 0.6961 0.2746 0.6896
O 0.7230 0.7230 0.6957
O 0.7254 0.3039 0.3104
O 0.7654 0.7654 0.3056



# 6
# NaCrSi2O

A relaxed structure of NaCrSi2O (PBE with a Hubbard U, Alexandria).

**E_tot**: -0.3586 Ry per atom
**Density of states at the Fermi level**: 0.310 states/eV per atom

Cell: 4.3941 4.3941 4.1996 Å, 90.00 90.00 90.00°
Sites, in units of the cell vectors:
Na 0.0000 0.0000 0.0000
Cr 0.5000 0.5000 0.0000
Si 0.0000 0.5000 0.5000
Si 0.5000 0.0000 0.5000
O 0.5000 0.5000 0.5000



# 7
# NaCrSiO4

A relaxed structure of NaCrSiO4 (PBE with a Hubbard U, Alexandria).

**E_tot**: -0.5161 Ry per atom
**Density of states at the Fermi level**: 0.000 states/eV per atom

Cell: 5.8580 5.8580 5.8580 Å, 122.86 116.64 90.52°
Sites, in units of the cell vectors:
Na 0.5000 0.0000 0.0000
Na 0.5000 0.5000 0.5000
Cr 0.0000 0.0000 0.0000
Cr 0.5000 0.0000 0.5000
Si 0.1070 0.3570 0.7500
Si 0.8930 0.6430 0.2500
O 0.2151 0.2452 0.9699
O 0.2247 0.7548 0.4699
O 0.2321 0.2366 0.5046
O 0.2321 0.7275 0.9954
O 0.7679 0.2725 0.0046
O 0.7679 0.7634 0.4954
O 0.7753 0.2452 0.5301
O 0.7849 0.7548 0.0301



# 8
# Na2CrSiO4

A relaxed structure of Na2CrSiO4 (PBE with a Hubbard U, Alexandria).

**E_tot**: -0.4809 Ry per atom
**Density of states at the Fermi level**: 0.000 states/eV per atom

Cell: 5.6230 5.6230 6.3667 Å, 90.00 90.00 90.00°
Sites, in units of the cell vectors:
Na 0.0000 0.0000 0.0000
Na 0.0000 0.5000 0.2500
Na 0.5000 0.0000 0.7500
Na 0.5000 0.5000 0.5000
Cr 0.0000 0.0000 0.5000
Cr 0.5000 0.5000 0.0000
Si 0.0000 0.5000 0.7500
Si 0.5000 0.0000 0.2500
O 0.1513 0.3125 0.5994
O 0.1875 0.6513 0.9006
O 0.3125 0.8487 0.4006
O 0.3487 0.1875 0.0994
O 0.6513 0.8125 0.0994
O 0.6875 0.1513 0.4006
O 0.8125 0.3487 0.9006
O 0.8487 0.6875 0.5994